Entry 1:
An optimized crystal structure of Y2ScPd2, computed with GGA-PBEsol.

Output
E_tot (eV per atom): -6.68
E above lowest polymorph (meV per atom): 464

Structure (CIF):
```
data_Y2ScPd2
_symmetry_space_group_name_H-M 'I 4/m m m'
_symmetry_Int_Tables_number 139
_symmetry_space_group_name_Hall '-I 4 2'
_cell_length_a 3.9379
_cell_length_b 3.9379
_cell_length_c 15.2921
_cell_angle_alpha 90.00
_cell_angle_beta 90.00
_cell_angle_gamma 90.00
loop_
_atom_site_label
_atom_site_type_symbol
_atom_site_fract_x
_atom_site_fract_y
_atom_site_fract_z
Y1 Y 0.0000 0.0000 0.1203
Sc1 Sc 0.0000 0.0000 0.5000
Pd1 Pd 0.0000 0.5000 0.2500
```



Entry 2:
An optimized crystal structure of YScPd2, computed with GGA-PBEsol.

Output
E_tot (eV per atom): -7.19

Structure (CIF):
```
data_YScPd2
_symmetry_space_group_name_H-M 'F m -3 m'
_symmetry_Int_Tables_number 225
_symmetry_space_group_name_Hall '-F 4 2 3'
_cell_length_a 6.7341
_cell_length_b 6.7341
_cell_length_c 6.7341
_cell_angle_alpha 90.00
_cell_angle_beta 90.00
_cell_angle_gamma 90.00
loop_
_atom_site_label
_atom_site_type_symbol
_atom_site_fract_x
_atom_site_fract_y
_atom_site_fract_z
Y1 Y 0.0000 0.0000 0.0000
Sc1 Sc 0.0000 0.0000 0.5000
Pd1 Pd 0.2500 0.2500 0.2500
```



Entry 3:
An optimized crystal structure of YSc2Pd2, computed with GGA-PBEsol.

Output
E_tot (eV per atom): -7.05

Structure (CIF):
```
data_YSc2Pd2
_symmetry_space_group_name_H-M 'P 4/m b m'
_symmetry_Int_Tables_number 127
_symmetry_space_group_name_Hall '-P 4 2ab'
_cell_length_a 7.5289
_cell_length_b 7.5289
_cell_length_c 3.5831
_cell_angle_alpha 90.00
_cell_angle_beta 90.00
_cell_angle_gamma 90.00
loop_
_atom_site_label
_atom_site_type_symbol
_atom_site_fract_x
_atom_site_fract_y
_atom_site_fract_z
Y1 Y 0.0000 0.0000 0.0000
Sc1 Sc 0.1567 0.3433 0.5000
Pd1 Pd 0.1336 0.6336 0.0000
```



no.,spin magnetization (Bohr magnetons per cell),energy relative to the elements (meV/atom)
1,0.00,-250.8
2,0.00,-851.8
3,0.00,-664.5